Compound: LiUSi2O8
Source: Alexandria via LeMat-Bulk
Functional: PBE-GGA
Structure: relaxed

Summary:
Calculated density   5.08 Mg/m³
E_form (uncorrected)   -2.45 eV per atom
M_tot   1.04 μB per formula unit

a = 6.7475 Å, b = 6.7475 Å, c = 6.1616 Å
α = 90.00°, β = 90.00°, γ = 90.00°
Last column: nearest neighbours and their distance in Å.
Space group I-4m2 (No. 119)
Inequivalent atoms, fractional coordinates:
Li1 0.0000 0.0000 0.0000 [2 per cell]  4 O 2.18
U1 0.0000 0.5000 0.2500 [2 per cell]  8 O 2.13-2.36
Si1 0.0000 0.0000 0.5000 [2 per cell]  4 O 1.64
Si2 0.0000 0.5000 0.7500 [2 per cell]  4 O 1.64
O1 0.0000 0.1960 0.3422 [8 per cell]  1 Si 1.64
O2 0.0000 0.3155 0.9243 [8 per cell]  1 Si 1.64